Compound: MnCr2Co2
Source: Alexandria via LeMat-Bulk
Functional: GGA-PBE
Structure: relaxed

Cell and atoms, written as extended XYZ:
```
5
Lattice="2.512 -2.513 0.000 2.512 2.513 0.000 -2.495 0.000 5.003" Properties=species:S:1:pos:R:3 pbc="T T T"
Mn 0.000 0.000 0.000
Cr 0.018 0.000 3.962
Cr 2.512 0.000 1.041
Co 1.265 1.261 2.502
Co 1.265 -1.261 2.502
```

Calculated values
**Magnetization**: 2.9 μB per cell
**Space group**: C2/m, No. 12
**Energy relative to the lowest polymorph listed for this composition**: 245 meV/atom
**Energy of formation from the pure elements**: 0.484 eV/atom
**E_tot**: -0.5910 Ry per atom

Compound: Mn2CrCo
Source: Alexandria via LeMat-Bulk
Functional: GGA-PBE
Structure: relaxed

Cell and atoms, written as extended XYZ:
```
4
Lattice="0.000 2.874 2.874 2.874 0.000 2.874 2.874 2.874 0.000" Properties=species:S:1:pos:R:3 pbc="T T T"
Mn 1.437 1.437 1.437
Mn 4.311 4.311 4.311
Cr 0.000 0.000 0.000
Co 2.874 2.874 2.874
```

Calculated values
**Magnetization**: 4.9 μB per cell
**Space group**: Fm-3m, No. 225
**Energy of formation from the pure elements**: -0.043 eV/atom
**E_tot**: -0.6475 Ry per atom

Compound: Mn2CrCo
Source: Alexandria via LeMat-Bulk
Functional: GGA-PBE
Structure: relaxed

Cell and atoms, written as extended XYZ:
```
4
Lattice="2.495 0.000 0.000 0.000 2.495 0.000 0.000 0.000 7.116" Properties=species:S:1:pos:R:3 pbc="T T T"
Mn 0.000 0.000 0.000
Mn 1.247 1.247 1.755
Cr 1.247 1.247 5.250
Co 0.000 0.000 3.507
```

Calculated values
**Magnetization**: 0.1 μB per cell
**Space group**: P4mm, No. 99
**Energy of formation from the pure elements**: 0.084 eV/atom
**E_tot**: -0.6382 Ry per atom